--- P ---
! ZnCuReSn (PBE, optimized geometry); values from VASP
! **Total magnetization**: 0.00 μB per cell
&SYSTEM
  ibrav = 0, nat = 4, ntyp = 4
/
ATOMIC_SPECIES
Re 186.21 Re.upf
Zn 65.41 Zn.upf
Cu 63.55 Cu.upf
Sn 118.71 Sn.upf
CELL_PARAMETERS angstrom
0.0000 3.1457 3.1457
3.1457 0.0000 3.1457
3.1457 3.1457 0.0000
ATOMIC_POSITIONS crystal
Re 0.5000 0.5000 0.5000
Zn 0.2500 0.2500 0.2500
Cu 0.7500 0.7500 0.7500
Sn 0.0000 0.0000 0.0000


--- Q ---
! ZnCuReSn (PBE, optimized geometry); values from VASP
! **Total magnetization**: 0.00 μB per cell
&SYSTEM
  ibrav = 0, nat = 4, ntyp = 4
/
ATOMIC_SPECIES
Re 186.21 Re.upf
Cu 63.55 Cu.upf
Sn 118.71 Sn.upf
Zn 65.41 Zn.upf
CELL_PARAMETERS angstrom
0.0000 3.1596 3.1596
3.1596 0.0000 3.1596
3.1596 3.1596 0.0000
ATOMIC_POSITIONS crystal
Re 0.2500 0.2500 0.2500
Cu 0.7500 0.7500 0.7500
Sn 0.0000 0.0000 0.0000
Zn 0.5000 0.5000 0.5000


Relative energy of each structure, in meV/atom: P 214; Q 0.


--- P ---
! TlZnCuRe (PBE, optimized geometry); values from VASP
! **Total magnetization**: 0.61 μB per cell
&SYSTEM
  ibrav = 0, nat = 4, ntyp = 4
/
ATOMIC_SPECIES
Re 186.21 Re.upf
Zn 65.41 Zn.upf
Cu 63.55 Cu.upf
Tl 204.38 Tl.upf
CELL_PARAMETERS angstrom
-2.0111 -2.6957 3.0162
0.2143 0.9826 4.4042
-3.6951 1.4124 2.1817
ATOMIC_POSITIONS crystal
Re 0.2500 0.2500 0.2500
Zn 0.5000 0.5000 0.5000
Cu 0.7500 0.7500 0.7500
Tl 0.0000 0.0000 0.0000


--- Q ---
! TlZnCuRe (PBE, optimized geometry); values from VASP
! **Total magnetization**: 0.66 μB per cell
&SYSTEM
  ibrav = 0, nat = 4, ntyp = 4
/
ATOMIC_SPECIES
Re 186.21 Re.upf
Zn 65.41 Zn.upf
Tl 204.38 Tl.upf
Cu 63.55 Cu.upf
CELL_PARAMETERS angstrom
-3.8255 -0.1915 2.3327
-2.1838 3.7766 1.0397
-3.8970 0.9603 -2.0010
ATOMIC_POSITIONS crystal
Re 0.5000 0.5000 0.5000
Zn 0.2500 0.2500 0.2500
Tl 0.0000 0.0000 0.0000
Cu 0.7500 0.7500 0.7500


Relative energy of each structure, in meV/atom: P 0; Q 53.


--- P ---
! ZrCuReW (PBE, optimized geometry); values from VASP
! **Total magnetization**: 0.00 μB per cell
&SYSTEM
  ibrav = 0, nat = 4, ntyp = 4
/
ATOMIC_SPECIES
Zr 91.22 Zr.upf
W 183.84 W.upf
Cu 63.55 Cu.upf
Re 186.21 Re.upf
CELL_PARAMETERS angstrom
0.0000 3.1873 3.1873
3.1873 0.0000 3.1873
3.1873 3.1873 0.0000
ATOMIC_POSITIONS crystal
Zr 0.0000 0.0000 0.0000
W 0.5000 0.5000 0.5000
Cu 0.7500 0.7500 0.7500
Re 0.2500 0.2500 0.2500


--- Q ---
! ZrCuReW (PBE, optimized geometry); values from VASP
! **Total magnetization**: 0.00 μB per cell
&SYSTEM
  ibrav = 0, nat = 4, ntyp = 4
/
ATOMIC_SPECIES
Re 186.21 Re.upf
Cu 63.55 Cu.upf
W 183.84 W.upf
Zr 91.22 Zr.upf
CELL_PARAMETERS angstrom
0.0000 3.1762 3.1762
3.1762 0.0000 3.1762
3.1762 3.1762 0.0000
ATOMIC_POSITIONS crystal
Re 0.5000 0.5000 0.5000
Cu 0.7500 0.7500 0.7500
W 0.2500 0.2500 0.2500
Zr 0.0000 0.0000 0.0000


Relative energy of each structure, in meV/atom: P 0; Q 54.